Np2NiAs4 | GGA-PBE | relaxed

The total magnetization is 6.19 Bohr magnetons per cell. Its energy is -7.6952 eV/atom.

The structure belongs to space group P-4m2 (No. 115); the cell edges are 3.9821, 3.9821 and 8.7478 Å and the angles 90.00°, 90.00° and 90.00°. The asymmetric unit holds Np at (0.0000, 0.5000, 0.2385), Ni at (0.5000, 0.5000, 0.0000), As at (0.0000, 0.0000, 0.5000), As at (0.0000, 0.5000, 0.8545) and As at (0.5000, 0.5000, 0.5000).



NaCdSiAu | GGA-PBE | relaxed

As for the offset from the most stable computed form: 0.0000 eV per atom. Its energy is -2.6785 eV/atom.

The structure belongs to space group F-43m (No. 216); the cell edges are 6.7207, 6.7207 and 6.7207 Å and the angles 90.00°, 90.00° and 90.00°. The asymmetric unit holds Na at (0.0000, 0.0000, 0.0000), Cd at (0.2500, 0.2500, 0.2500), Si at (0.0000, 0.0000, 0.5000) and Au at (0.2500, 0.2500, 0.7500).



CsRb2TbF6 | GGA-PBE | relaxed

The total magnetization is 0.00 Bohr magnetons per cell. As for the offset from the most stable computed form: 0.0000 eV per atom. Its energy is -5.1205 eV/atom.

The structure belongs to space group P-1 (No. 2); the cell edges are 6.4149, 6.4230 and 6.6904 Å and the angles 90.41°, 118.07° and 119.76°. The asymmetric unit holds Cs at (0.0000, 0.0000, 0.0000), Rb at (0.4872, 0.2491, 0.7322), Tb at (0.0000, 0.5000, 0.5000), F at (0.0248, 0.8168, 0.3749), F at (0.1264, 0.6989, 0.8430) and F at (0.4444, 0.6531, 0.6332).



Y4Lu2Al3N3 | GGA-PBE | relaxed

The total magnetization is 0.01 Bohr magnetons per cell. Its energy is -6.8932 eV/atom.

The structure belongs to space group C2/c (No. 15); the cell edges are 10.3940, 6.0026 and 15.4475 Å and the angles 90.00°, 103.06° and 90.00°. The asymmetric unit holds Y at (0.1151, 0.0800, 0.0944), Y at (0.2166, 0.0856, 0.4055), Lu at (0.0586, 0.4147, 0.9205), Al at (0.0000, 0.1409, 0.7500), Al at (0.1373, 0.4467, 0.2497), N at (0.0823, 0.2529, 0.5000) and N at (0.2500, 0.2500, 0.0000).



FeCuS4 | GGA-PBE | relaxed

The total magnetization is 0.04 Bohr magnetons per cell. As for the offset from the most stable computed form: 0.0000 eV per atom. Its energy is -5.0054 eV/atom.

The structure belongs to space group P2/m (No. 10); the cell edges are 4.5692, 3.4896 and 5.6075 Å and the angles 90.00°, 90.31° and 90.00°. The asymmetric unit holds Fe at (0.0000, 0.0000, 0.0000), Cu at (0.5000, 0.5000, 0.5000), S at (0.1714, 0.0000, 0.6244) and S at (0.2980, 0.5000, 0.1017).



GePAuO | GGA-PBE | relaxed

As for the offset from the most stable computed form: 0.0000 eV per atom. Its energy is -5.0968 eV/atom.

The structure belongs to space group Pmc2_1 (No. 26); the cell edges are 3.7270, 8.1976 and 5.5466 Å and the angles 90.00°, 90.00° and 90.00°. The asymmetric unit holds Ge at (0.0000, 0.1154, 0.0000), P at (0.5000, 0.2702, 0.9116), Au at (0.5000, 0.4954, 0.6519) and O at (0.0000, 0.0650, 0.3162).



SmSi3Ir | GGA-PBE | relaxed

The total magnetization is 0.00 Bohr magnetons per cell. Its energy is -6.7779 eV/atom.

The structure belongs to space group I4mm (No. 107); the cell edges are 4.2363, 4.2363 and 9.8390 Å and the angles 90.00°, 90.00° and 90.00°. The asymmetric unit holds Sm at (0.0000, 0.0000, 0.0000), Si at (0.0000, 0.0000, 0.5846), Si at (0.0000, 0.5000, 0.2340) and Ir at (0.0000, 0.0000, 0.3449).



PuInB | GGA-PBE | relaxed

The total magnetization is 21.29 Bohr magnetons per cell. As for the offset from the most stable computed form: 0.0207 eV per atom. Its energy is -6.7549 eV/atom.

The structure belongs to space group F-43m (No. 216); the cell edges are 6.4169, 6.4169 and 6.4169 Å and the angles 90.00°, 90.00° and 90.00°. The asymmetric unit holds Pu at (0.0000, 0.0000, 0.0000), In at (0.2500, 0.2500, 0.2500) and B at (0.2500, 0.2500, 0.7500).



Li2Tb | GGA-PBE | relaxed

The total magnetization is 6.38 Bohr magnetons per cell. As for the offset from the most stable computed form: 0.6621 eV per atom. Its energy is -2.0337 eV/atom.

The structure belongs to space group Fm-3m (No. 225); the cell edges are 7.0555, 7.0555 and 7.0555 Å and the angles 90.00°, 90.00° and 90.00°. The asymmetric unit holds Li at (0.2500, 0.2500, 0.2500) and Tb at (0.0000, 0.0000, 0.0000).



RbPrSO | GGA-PBE | relaxed

The total magnetization is 0.00 Bohr magnetons per cell. As for the offset from the most stable computed form: 0.1037 eV per atom. Its energy is -5.7818 eV/atom.

The structure belongs to space group P-3m1 (No. 164); the cell edges are 3.9127, 3.9127 and 14.4109 Å and the angles 90.00°, 90.00° and 120.00°. The asymmetric unit holds Rb at (0.3333, 0.6667, 0.2206), Pr at (0.0000, 0.0000, 0.0000), Pr at (0.0000, 0.0000, 0.5000), S at (0.3333, 0.6667, 0.6163) and O at (0.3333, 0.6667, 0.9221).



ZrNiGe2 | GGA-PBE | relaxed

The total magnetization is 0.00 Bohr magnetons per cell. Its energy is -6.2809 eV/atom.

The structure belongs to space group Pmn2_1 (No. 31); the cell edges are 3.9168, 6.1202 and 5.5393 Å and the angles 90.00°, 90.00° and 90.00°. The asymmetric unit holds Zr at (0.0000, 0.1604, 0.0000), Ni at (0.0000, 0.6604, 0.8545), Ge at (0.0000, 0.1599, 0.5025) and Ge at (0.0000, 0.5703, 0.2888).



Ga3Ni20B6 | GGA-PBE | relaxed

The total magnetization is 0.02 Bohr magnetons per cell. Its energy is -5.8698 eV/atom.

The structure belongs to space group Fm-3m (No. 225); the cell edges are 10.5273, 10.5273 and 10.5273 Å and the angles 90.00°, 90.00° and 90.00°. The asymmetric unit holds Ga at (0.0000, 0.0000, 0.0000), Ga at (0.2500, 0.2500, 0.2500), Ni at (0.0000, 0.1687, 0.1687), Ni at (0.1176, 0.1176, 0.3824) and B at (0.0000, 0.0000, 0.2760).